SnHgI2O after structural relaxation. Source: Alexandria, functional PBE.

POSCAR file:
```
SnHgI2O
1.0
6.141 0.000 0.000
0.000 6.141 0.000
0.000 0.000 4.076
I Hg O Sn
2 1 1 1
Direct
0.000 0.500 0.000
0.500 0.000 0.000
0.000 0.000 0.000
0.000 0.000 0.500
0.500 0.500 0.500
```

Results
- magnetic moment (μB per atom) = 0.000
- formation energy from raw total energies (meV per atom) = 83
- DOS(E_F) (states/eV/cell) = 4.2
- VASP energy (eV per atom) = -2.39



Nd3Ga4Rh2 after structural relaxation. Source: Alexandria, functional PBE.

POSCAR file:
```
Nd3Ga4Rh2
1.0
-2.294 -1.787 3.291
5.658 0.994 1.554
-4.111 7.332 1.116
Nd Ga Rh
3 4 2
Direct
0.624 0.248 0.693
0.000 0.000 0.000
0.376 0.752 0.307
0.720 0.439 0.075
0.280 0.561 0.925
0.901 0.802 0.592
0.099 0.198 0.408
0.685 0.369 0.356
0.315 0.631 0.644
```

Results
- magnetic moment (μB per atom) = 0.000
- DOS(E_F) (states/eV/cell) = 7.0
- VASP energy (eV per atom) = -5.29
- DFT formation energy (eV per atom) = -0.726



Which formula does entry 1 have?
SnHgI2O